1.
The following is a PBE calculation of a geometry-optimized Cs2ErPu3O12 structure, from the Alexandria database.

Cell and atoms, written as extended XYZ:
```
18
Lattice="7.752 -0.097 -0.069 3.744 6.788 -0.069 3.744 2.179 6.429" Properties=species:S:1:pos:R:3 pbc="T T T"
O 8.164 1.887 4.375
O 3.283 1.911 4.257
O 9.576 8.312 5.896
O 11.957 6.960 2.035
O 7.076 6.985 1.918
O 5.673 6.168 4.375
O 5.665 0.559 0.396
O 8.164 4.752 0.334
O 11.957 4.221 5.896
O 3.283 4.650 0.396
O 7.076 4.119 5.958
O 9.568 2.703 1.918
Pu 1.872 1.090 3.215
Pu 3.876 -0.048 -0.034
Pu 1.872 3.394 -0.034
Cs 5.743 3.343 2.371
Cs 9.497 5.528 3.921
Er 0.000 0.000 0.000
```

Computed properties:
size of the total moment: 0.28 μB/atom
VASP energy: -8.63 eV/atom
E_form (uncorrected): -2.59 eV per atom
DOS at the Fermi energy: 8.4 states/eV/cell

2.
The following is a PBE calculation of a geometry-optimized Cs2ErReO6 structure, from the Alexandria database.

Cell and atoms, written as extended XYZ:
```
10
Lattice="-2.386 -3.570 3.798 5.849 -0.453 3.249 -4.417 4.754 1.693" Properties=species:S:1:pos:R:3 pbc="T T T"
O 4.025 -0.510 3.827
O 1.330 2.391 4.861
O -2.284 -1.660 3.880
O 0.456 -0.233 1.845
O -4.979 1.241 4.913
O -1.410 0.965 6.896
Re 0.000 0.000 0.000
Cs -1.346 2.493 2.770
Cs 0.392 -1.762 5.970
Er -1.193 -1.785 1.899
```

Computed properties:
size of the total moment: 0.00 μB/atom
VASP energy: -6.92 eV/atom
E_form (uncorrected): -2.07 eV per atom
DOS at the Fermi energy: 0.0 states/eV/cell

3.
The following is a PBE calculation of a geometry-optimized CsErRe2O8 structure, from the Alexandria database.

Cell and atoms, written as extended XYZ:
```
12
Lattice="6.039 0.000 0.000 -3.019 5.230 0.000 0.000 0.000 8.443" Properties=species:S:1:pos:R:3 pbc="T T T"
Re 0.000 3.487 6.163
Re 3.019 1.743 2.279
O 3.038 3.447 2.889
O 0.000 3.487 7.930
O 4.486 0.875 2.889
O 1.485 4.322 5.554
O -0.019 1.783 5.554
O 3.019 1.743 0.512
O -1.466 4.355 5.554
O 1.535 0.908 2.889
Er 0.000 0.000 4.221
Cs 0.000 0.000 0.000
```

Computed properties:
size of the total moment: 0.17 μB/atom
VASP energy: -7.87 eV/atom
E_form (uncorrected): -2.03 eV per atom
DOS at the Fermi energy: 6.1 states/eV/cell

4.
The following is a PBE calculation of a geometry-optimized CsEr2ReO8 structure, from the Alexandria database.

Cell and atoms, written as extended XYZ:
```
12
Lattice="4.944 -0.037 0.018 -0.014 4.944 0.016 0.045 0.047 7.738" Properties=species:S:1:pos:R:3 pbc="T T T"
O 4.073 0.964 6.424
O 1.394 1.387 0.034
O 3.993 0.884 1.349
O 0.901 3.990 1.348
O 0.981 4.071 6.423
O 1.952 1.944 3.892
O 3.023 3.010 3.880
O 3.581 3.567 7.738
Er 2.483 2.472 1.681
Er 2.491 2.482 6.090
Re 0.000 0.000 0.000
Cs 0.022 0.023 3.869
```

Computed properties:
size of the total moment: 0.00 μB/atom
VASP energy: -7.39 eV/atom
E_form (uncorrected): -2.22 eV per atom